TbThSc2 | PBE-GGA | optimized geometry

Calculated values
Symmetry: P4/mmm
Formation enthalpy at 0 K (eV per atom): 0.04
Energy above the most stable polymorph in this dataset (meV/atom): 18
Mass density (kg/m³): 7107
DOS at the Fermi energy (states/eV/f.u.): 5.6

Geometry as POSCAR:
```
TbThSc2
1.0
4.953 0.000 0.000
0.000 4.953 0.000
0.000 0.000 4.579
Tb Th Sc
1 1 2
direct
0.000 0.000 0.000
0.500 0.500 0.000
0.000 0.500 0.500
0.500 0.000 0.500
```